Record 1
Computed, not measured: a relaxed Ho3TcO crystal at the GGA-PBE level of DFT.

Geometry as POSCAR:
```
Ho3TcO
1.0
4.644 0.000 0.000
0.000 4.644 0.000
0.000 0.000 4.644
Ho Tc O
3 1 1
direct
0.000 0.000 0.500
0.000 0.500 0.000
0.500 0.000 0.000
0.500 0.500 0.500
0.000 0.000 0.000
```

Calculated values
uncorrected energy: -34.4 eV per formula unit
space group: Pm-3m, No. 221

=====

Record 2
Computed, not measured: a relaxed Mg2CoCl crystal at the GGA-PBE level of DFT.

Geometry as POSCAR:
```
Mg2CoCl
1.0
1.621 -2.711 0.000
1.621 2.711 0.000
0.000 0.000 8.465
Mg Co Cl
2 1 1
direct
0.000 0.000 0.000
0.500 0.500 0.307
0.000 0.000 0.544
0.500 0.500 0.764
```

Calculated values
uncorrected energy: -12.0 eV per formula unit
E above lowest polymorph: 0.410 eV/atom
space group: Cmm2, No. 35

=====

Record 3
Computed, not measured: a relaxed Cs2PmAg2F6 crystal at the GGA-PBE level of DFT.

Geometry as POSCAR:
```
Cs2PmAg2F6
1.0
5.751 -3.436 0.000
5.751 3.436 0.000
-3.991 0.000 6.716
Cs Pm Ag F
2 1 2 6
direct
0.212 0.212 0.161
0.788 0.788 0.839
0.000 0.000 0.500
0.441 0.441 0.800
0.559 0.559 0.200
0.164 0.711 0.255
0.212 0.212 0.545
0.289 0.836 0.745
0.711 0.164 0.255
0.788 0.788 0.455
0.836 0.289 0.745
```

Calculated values
uncorrected energy: -50.8 eV per formula unit
space group: C2/m, No. 12